(1)
Crystalline SiAs2BrF at its relaxed geometry, computed with PBE-GGA.

## Properties
Raw formation energy: 1.73 eV per formula unit

Geometry as POSCAR:
```
SiAs2BrF
1.0
-4.063 2.294 -0.983
0.350 -1.335 -4.564
-2.583 -4.141 1.013
As Br Si F
2 1 1 1
Direct
0.000 0.500 0.000
0.500 0.000 0.000
0.000 0.000 0.500
0.000 0.000 0.000
0.500 0.500 0.500
```



(2)
Crystalline Pr2Ga3IrPt4 at its relaxed geometry, computed with PBE-GGA.

## Properties
Energy relative to the elements: -813 meV/atom

Geometry as POSCAR:
```
Pr2Ga3IrPt4
1.0
4.169 0.000 0.000
0.000 4.169 0.000
0.000 0.000 11.155
Ir Pt Ga Pr
1 4 3 2
Direct
0.500 0.500 0.500
0.000 0.500 0.353
0.500 0.500 0.000
0.500 0.000 0.647
0.000 0.000 0.000
0.000 0.500 0.131
0.000 0.000 0.500
0.500 0.000 0.869
0.500 0.000 0.257
0.000 0.500 0.743
```



(3)
Crystalline LaBe2Hg at its relaxed geometry, computed with PBE-GGA.

## Properties
Energy relative to the elements: 314 meV/atom

Geometry as POSCAR:
```
LaBe2Hg
1.0
3.286 0.000 0.000
0.000 3.286 0.000
0.000 0.000 6.912
La Be Hg
1 2 1
Direct
0.500 0.500 0.750
0.000 0.000 0.063
0.000 0.000 0.437
0.500 0.500 0.250
```



(4)
Crystalline TaTi2Ni2 at its relaxed geometry, computed with PBE-GGA.

## Properties
Energy relative to the elements: -241 meV/atom

Geometry as POSCAR:
```
TaTi2Ni2
1.0
-5.311 4.081 2.068
-2.514 -5.251 3.905
1.630 0.945 2.321
Ti Ni Ta
4 4 2
Direct
0.168 0.668 0.500
0.332 0.168 0.500
0.668 0.832 0.500
0.832 0.332 0.500
0.873 0.627 0.000
0.627 0.127 0.000
0.127 0.373 0.000
0.373 0.873 0.000
0.000 0.000 0.000
0.500 0.500 0.000
```